# Be2ZnCr, PBEsol geometry, DFT meta-GGA SCAN
data_Be2ZnCr
_chemical_formula_sum 'Be4 Zn2 Cr2'
_cell_length_a 3.656
_cell_length_b 2.465
_cell_length_c 8.973
_cell_angle_alpha 90.00
_cell_angle_beta 90.00
_cell_angle_gamma 90.00
_symmetry_space_group_name_H-M 'A m m 2'
_symmetry_Int_Tables_number 38
loop_
_symmetry_equiv_pos_as_xyz
'x,y,z'
'-x,-y,z'
'-x,y,z'
'x,-y,z'
'x,y+1/2,z+1/2'
'-x,-y+1/2,z+1/2'
'-x,y+1/2,z+1/2'
'x,-y+1/2,z+1/2'
loop_
_atom_site_label
_atom_site_fract_x
_atom_site_fract_y
_atom_site_fract_z
_atom_site_occupancy
Be1 0.000 0.000 0.000 1
Be2 0.500 0.000 0.134 1
Zn1 0.000 0.000 0.741 1
Cr1 0.500 0.000 0.401 1
# DFT total energy	-10.07	eV per atom
# total moment	2.68	Bohr magnetons per cell
# formation enthalpy at 0 K	0.084	eV/atom

***

# BeZn2Cr, PBEsol geometry, DFT meta-GGA SCAN
data_BeZn2Cr
_chemical_formula_sum 'Be3 Zn6 Cr3'
_cell_length_a 2.5452
_cell_length_b 2.5452
_cell_length_c 25.2479
_cell_angle_alpha 90.00
_cell_angle_beta 90.00
_cell_angle_gamma 120.00
_symmetry_space_group_name_H-M 'R 3 m'
_symmetry_Int_Tables_number 160
_symmetry_space_group_name_Hall 'R 3 -2"'
loop_
_atom_site_label
_atom_site_fract_x
_atom_site_fract_y
_atom_site_fract_z
_atom_site_occupancy
Be1 0.0000 0.0000 0.0000 1
Zn1 0.0000 0.0000 0.2524 1
Zn2 0.0000 0.0000 0.4932 1
Cr1 0.0000 0.0000 0.7408 1
# DFT total energy	-12.24	eV per atom
# total moment	0.00	Bohr magnetons per cell
# formation enthalpy at 0 K	0.199	eV/atom

***

# Be2ZnCr, PBEsol geometry, DFT meta-GGA SCAN
data_Be2ZnCr
_chemical_formula_sum 'Be2 Zn1 Cr1'
_cell_length_a 3.515
_cell_length_b 3.515
_cell_length_c 3.238
_cell_angle_alpha 90.00
_cell_angle_beta 90.00
_cell_angle_gamma 90.00
_symmetry_space_group_name_H-M 'P 4/m m m'
_symmetry_Int_Tables_number 123
_symmetry_space_group_name_Hall '-P 4 2'
loop_
_atom_site_label
_atom_site_fract_x
_atom_site_fract_y
_atom_site_fract_z
_atom_site_occupancy
Be1 0.000 0.500 0.000 1
Zn1 0.000 0.000 0.500 1
Cr1 0.500 0.500 0.500 1
# DFT total energy	-10.17	eV per atom
# total moment	0.00	Bohr magnetons per cell
# formation enthalpy at 0 K	-0.014	eV/atom

***

# BeZn2Cr, PBEsol geometry, DFT meta-GGA SCAN
data_BeZn2Cr
_chemical_formula_sum 'Be2 Zn4 Cr2'
_cell_length_a 2.563
_cell_length_b 4.159
_cell_length_c 8.558
_cell_angle_alpha 90.00
_cell_angle_beta 90.00
_cell_angle_gamma 90.00
_symmetry_space_group_name_H-M 'I m m m'
_symmetry_Int_Tables_number 71
_symmetry_space_group_name_Hall '-I 2 2'
loop_
_atom_site_label
_atom_site_fract_x
_atom_site_fract_y
_atom_site_fract_z
_atom_site_occupancy
Be1 0.000 0.000 0.000 1
Zn1 0.000 0.500 0.273 1
Cr1 0.000 0.000 0.500 1
# DFT total energy	-12.24	eV per atom
# total moment	1.23	Bohr magnetons per cell
# formation enthalpy at 0 K	0.201	eV/atom